Below is PrDyAl2Pd5 after structural relaxation, with properties calculated at the PBE-GGA level.

Summary:
**VASP energy**: -49.93 eV for the cell shown
**Symmetry**: P4/mmm, No. 123
**V**: 18.9 A^3/atom
**Calculated formation energy**: -0.7887 eV per atom

a = 4.287 Å, b = 4.287 Å, c = 9.255 Å
α = 90.00°, β = 90.00°, γ = 90.00°
Fractional positions:
1 Pd 0.500 0.500 0.500
2 Pd 0.500 0.000 0.730
3 Pd 0.000 0.500 0.270
4 Pd 0.000 0.500 0.730
5 Pd 0.500 0.000 0.270
6 Al 0.500 0.500 0.860
7 Al 0.500 0.500 0.140
8 Dy 0.000 0.000 0.000
9 Pr 0.000 0.000 0.500